Record 1
PmInGaNi after structural relaxation, computed with GGA-PBE.

The value obtained for the total magnetization is 0.0 μB per formula unit. Its energy of formation from the pure elements is -325 meV per atom.

It has space group F-43m (No. 216), with a = 6.8313 Å, b = 6.8313 Å, c = 6.8313 Å, α = 90.00°, β = 90.00° and γ = 90.00°. The asymmetric unit holds Pm at (0.0000, 0.0000, 0.0000), In at (0.0000, 0.0000, 0.5000), Ga at (0.2500, 0.2500, 0.7500) and Ni at (0.2500, 0.2500, 0.2500).

---

Record 2
Cd2ReSeS after structural relaxation, computed with GGA-PBE.

The value obtained for the total magnetization is 0.0 μB per formula unit. For the formation energy (no corrections), the calculation gives 0.7789 eV per atom.

It has space group P4/mmm (No. 123), with a = 5.1395 Å, b = 5.1395 Å, c = 4.3342 Å, α = 90.00°, β = 90.00° and γ = 90.00°. The asymmetric unit holds Cd at (0.0000, 0.5000, 0.0000), Re at (0.0000, 0.0000, 0.5000), Se at (0.5000, 0.5000, 0.5000) and S at (0.0000, 0.0000, 0.0000).

---

Record 3
LaBe2Sb after structural relaxation, computed with GGA-PBE.

The value obtained for the total magnetization is 0.0 μB per formula unit. For the formation energy (no corrections), the calculation gives 0.5123 eV per atom. The energy above the lowest structure with this stoichiometry is 0.740 eV/atom.

It has space group C2/m (No. 12), with a = 6.2735 Å, b = 9.5418 Å, c = 3.1861 Å, α = 90.00°, β = 116.33° and γ = 90.00°. The asymmetric unit holds La at (0.0000, 0.0000, 0.0000), Be at (0.2500, 0.2500, 0.5000) and Sb at (0.0000, 0.5000, 0.0000).

---

What is the formula in the second record? Cd2ReSeS